(1)
PBEsol Ba2LiP, relaxed; total magnetization = 0.000 μB per cell; total energy = -0.2660 Ry/atom
1.0
4.473 0.000 0.000
0.000 4.616 0.000
0.000 -2.308 6.117
P Ba Li
1 2 1
Direct
0.500 0.685 0.370
0.500 0.978 0.956
0.000 0.257 0.513
0.000 0.581 0.161

=====

(2)
PBEsol BaLiP, relaxed; total magnetization = 0.000 μB per cell; total energy = -0.3076 Ry/atom
1.0
-3.718 -1.669 1.603
1.896 -1.835 -3.496
2.352 -2.670 2.677
P Ba Li
1 1 1
Direct
0.333 0.667 0.000
0.000 0.000 0.500
0.667 0.333 0.000

=====

(3)
PBEsol Ba2LiP, relaxed; total magnetization = 0.003 μB per cell; total energy = -0.2680 Ry/atom
1.0
4.365 0.000 0.000
2.183 3.781 0.000
2.183 1.260 8.455
P Ba Li
1 2 1
Direct
0.208 0.208 0.376
0.962 0.962 0.115
0.789 0.789 0.634
0.542 0.542 0.375

=====

(4)
PBEsol BaLi2P2, relaxed; total magnetization = 0.000 μB per cell; total energy = -0.3217 Ry/atom
1.0
-2.062 0.679 -3.838
3.836 -0.410 -2.134
-1.662 -5.040 2.535
P Ba Li
2 1 2
Direct
0.386 0.386 0.772
0.614 0.614 0.228
0.000 0.000 0.000
0.250 0.750 0.500
0.750 0.250 0.500

=====

Q: Among the records above, which one has the highest total energy?
A: number 1

=====

Q: Which formula does entry 2 have?
A: BaLiP